Material: Cs2Cd6InAu
Method: DFT, PBE
State: optimized geometry

## Properties
The value obtained for the spin magnetization is 0.000 μB/atom. The crystal system is tetragonal. The calculation puts the calculated formation energy at -0.028 eV per atom.

Lattice parameters (Å, degrees): 7.9867 7.9867 7.9867 119.26 119.26 91.28
Positions (direct):
Cs 0.2500 0.7500 0.5000
Cs 0.7500 0.2500 0.5000
Cd 0.2411 0.2411 0.4821
Cd 0.2411 0.7589 0.0000
Cd 0.2428 0.2428 0.0000
Cd 0.7572 0.7572 0.0000
Cd 0.7589 0.2411 0.0000
Cd 0.7589 0.7589 0.5179
In 0.5000 0.5000 0.0000
Au 0.0000 0.0000 0.0000